Material: SnP2SO
Method: DFT, SCAN
State: single point on PBEsol structure

Summary:
The crystal system is tetragonal. The value obtained for the density of states at the Fermi level is 0.558 states/eV/atom. The calculation puts the offset from the most stable computed form at 0 meV per atom. The space-group type is No. 123. The formation energy without anion corrections is 0.385 eV/atom.

abc: 3.8325 3.8325 6.0238
angles: 90.00 90.00 90.00
Closest atoms and distances in Å follow each position.
Fractional coordinates of all 5 atoms:
P  0.0000  0.5000  0.0000  2 O 1.92
P  0.5000  0.0000  0.0000  2 O 1.92
S  0.0000  0.0000  0.5000  4 Sn 2.71, 2 O 3.01
Sn  0.5000  0.5000  0.5000  4 S 2.71
O  0.0000  0.0000  0.0000  4 P 1.92